Compound: Hf9Fe4Sn10
Source: the Open Quantum Materials Database
Functional: PBE-GGA
Structure: relaxed

Cell: 18.2569 18.2569 8.9305 Å, 90.00 90.00 162.04°
With the nearest neighbours (Å) after each atom.
Element x y z (fractional)
Hf  0.0490  0.9510  0.5000  7 Sn 2.93-3.15
Hf  0.1043  0.8957  0.8980  7 Sn 2.96-3.04, 2 Fe 3.22
Hf  0.1997  0.8003  0.6424  7 Sn 2.87-3.14, 2 Fe 3.13
Hf  0.2182  0.2787  0.6238  2 Hf 2.83-2.87, 6 Sn 2.94-3.06
Hf  0.2787  0.2182  0.1238  2 Hf 2.83-2.87, 6 Sn 2.94-3.06
Hf  0.3223  0.6777  0.9133  4 Fe 2.85-2.99, 6 Sn 2.88-3.02, 1 Hf 3.00
Hf  0.3305  0.6695  0.3572  4 Fe 2.91-3.24, 7 Sn 2.96-3.14
Hf  0.4031  0.5969  0.8354  2 Fe 2.85, 6 Sn 2.88-2.98, 1 Hf 3.00
Hf  0.4488  0.5512  0.2313  7 Sn 2.90-3.14
Hf  0.5512  0.4488  0.7313  7 Sn 2.90-3.14
Hf  0.5969  0.4031  0.3354  2 Fe 2.85, 6 Sn 2.88-2.98, 1 Hf 3.00
Hf  0.6695  0.3305  0.8572  4 Fe 2.91-3.24, 7 Sn 2.96-3.14
Hf  0.6777  0.3223  0.4133  4 Fe 2.85-2.99, 6 Sn 2.88-3.02, 1 Hf 3.00
Hf  0.7213  0.7818  0.6238  2 Hf 2.83-2.87, 6 Sn 2.94-3.06
Hf  0.7818  0.7213  0.1238  2 Hf 2.83-2.87, 6 Sn 2.94-3.06
Hf  0.8003  0.1997  0.1424  7 Sn 2.87-3.14, 2 Fe 3.13
Hf  0.8957  0.1043  0.3980  7 Sn 2.96-3.04, 2 Fe 3.22
Hf  0.9510  0.0490  0.0000  7 Sn 2.93-3.15
Fe  0.0105  0.5131  0.8888  6 Sn 2.69-2.93, 2 Fe 2.72-2.98, 1 Hf 2.99
Fe  0.1397  0.4413  0.6444  1 Fe 2.39, 4 Sn 2.65-2.67
Fe  0.4413  0.1397  0.1444  1 Fe 2.39, 4 Sn 2.65-2.67
Fe  0.4869  0.9895  0.8888  6 Sn 2.69-2.93, 2 Fe 2.72-2.98, 1 Hf 2.99
Fe  0.5131  0.0105  0.3888  6 Sn 2.69-2.93, 2 Fe 2.72-2.98, 1 Hf 2.99
Fe  0.5587  0.8603  0.6444  1 Fe 2.39, 4 Sn 2.65-2.67
Fe  0.8603  0.5587  0.1444  1 Fe 2.39, 4 Sn 2.65-2.67
Fe  0.9895  0.4869  0.3888  6 Sn 2.69-2.93, 2 Fe 2.72-2.98, 1 Hf 2.99
Sn  0.0245  0.9755  0.8212  9 Hf 2.96-3.11
Sn  0.0976  0.9024  0.2372  2 Fe 2.67, 3 Hf 2.93-2.98
Sn  0.1246  0.3693  0.1093  2 Sn 2.81-2.89, 7 Hf 2.98-3.15
Sn  0.1857  0.8143  0.9589  4 Fe 2.66-2.72, 1 Hf 2.87
Sn  0.1874  0.8126  0.3252  4 Fe 2.66-2.80, 3 Hf 2.87-2.98
Sn  0.2673  0.7327  0.1465  4 Fe 2.69-2.75, 2 Hf 2.88-2.96
Sn  0.2807  0.7193  0.6289  6 Fe 2.75-2.93, 3 Hf 2.92-3.02
Sn  0.3693  0.1246  0.6093  2 Sn 2.81-2.89, 7 Hf 2.98-3.15
Sn  0.4045  0.5955  0.5018  2 Fe 2.65, 4 Hf 2.90-2.96
Sn  0.4803  0.5197  0.9188  9 Hf 2.88-3.12
Sn  0.5197  0.4803  0.4188  9 Hf 2.88-3.12
Sn  0.5955  0.4045  0.0018  2 Fe 2.65, 4 Hf 2.90-2.96
Sn  0.6307  0.8754  0.1093  2 Sn 2.81-2.89, 7 Hf 2.98-3.15
Sn  0.7193  0.2807  0.1289  6 Fe 2.75-2.93, 3 Hf 2.92-3.02
Sn  0.7327  0.2673  0.6465  4 Fe 2.69-2.75, 2 Hf 2.88-2.96
Sn  0.8126  0.1874  0.8252  4 Fe 2.66-2.80, 3 Hf 2.87-2.98
Sn  0.8143  0.1857  0.4589  4 Fe 2.66-2.72, 1 Hf 2.87
Sn  0.8754  0.6307  0.6093  2 Sn 2.81-2.89, 7 Hf 2.98-3.15
Sn  0.9024  0.0976  0.7372  2 Fe 2.67, 3 Hf 2.93-2.98
Sn  0.9755  0.0245  0.3212  9 Hf 2.96-3.11

Results
Symmetry: No. 36


Compound: HfAgNO
Source: the Open Quantum Materials Database
Functional: PBE-GGA
Structure: relaxed

Cell: 4.6464 4.6464 4.4353 Å, 90.00 90.00 90.00°
With the nearest neighbours (Å) after each atom.
Element x y z (fractional)
Hf  0.2500  0.7500  0.0000  2 O 2.22, 4 N 2.33
Hf  0.7500  0.2500  0.0000  2 O 2.22, 4 N 2.33
Ag  0.2500  0.2500  0.4684  2 N 2.19-2.25, 4 O 2.33
Ag  0.7500  0.7500  0.5316  2 N 2.19-2.25, 4 O 2.33
N  0.2500  0.2500  0.9755  2 Ag 2.19-2.25, 4 Hf 2.33
N  0.7500  0.7500  0.0245  2 Ag 2.19-2.25, 4 Hf 2.33
O  0.2500  0.7500  0.5000  2 Hf 2.22, 4 Ag 2.33
O  0.7500  0.2500  0.5000  2 Hf 2.22, 4 Ag 2.33

Results
Energy above the lowest structure with this stoichiometry, meV per atom: 395
Symmetry: No. 129


Compound: NbTeCl9
Source: the Open Quantum Materials Database
Functional: PBE-GGA
Structure: relaxed

Cell: 6.4373 9.3218 11.2891 Å, 73.81 73.88 89.02°
With the nearest neighbours (Å) after each atom.
Element x y z (fractional)
Nb  0.0688  0.2573  0.2959  6 Cl 2.30-2.49
Nb  0.9312  0.7427  0.7041  6 Cl 2.30-2.49
Te  0.3670  0.3318  0.8356  3 Cl 2.33-2.36
Te  0.6330  0.6682  0.1644  3 Cl 2.33-2.36
Cl  0.0032  0.3027  0.0861  1 Nb 2.44
Cl  0.0668  0.4915  0.7034  1 Nb 2.49
Cl  0.1514  0.2506  0.4832  1 Nb 2.30
Cl  0.1862  0.1132  0.8373  1 Te 2.36
Cl  0.2297  0.0397  0.2769  1 Nb 2.30
Cl  0.2768  0.8521  0.6069  1 Nb 2.30
Cl  0.3894  0.8018  0.0610  1 Te 2.35
Cl  0.4056  0.6377  0.3718  1 Te 2.33
Cl  0.4247  0.3955  0.1697  1 Nb 2.49
Cl  0.5753  0.6045  0.8303  1 Nb 2.49
Cl  0.5944  0.3623  0.6282  1 Te 2.33
Cl  0.6106  0.1982  0.9390  1 Te 2.35
Cl  0.7232  0.1479  0.3931  1 Nb 2.30
Cl  0.7703  0.9603  0.7231  1 Nb 2.30
Cl  0.8138  0.8868  0.1627  1 Te 2.36
Cl  0.8486  0.7494  0.5168  1 Nb 2.30
Cl  0.9332  0.5085  0.2966  1 Nb 2.49
Cl  0.9968  0.6973  0.9139  1 Nb 2.44

Results
Energy above the lowest structure with this stoichiometry, meV per atom: 10
Symmetry: No. 2


Compound: CuSiOsPt
Source: the Open Quantum Materials Database
Functional: PBE-GGA
Structure: relaxed

Cell: 4.2901 4.2901 4.2901 Å, 60.00 60.00 60.00°
With the nearest neighbours (Å) after each atom.
Element x y z (fractional)
Cu  0.0000  0.0000  0.0000  4 Si 2.63, 4 Pt 2.63
Si  0.7500  0.7500  0.7500  4 Os 2.63, 4 Cu 2.63
Os  0.5000  0.5000  0.5000  4 Si 2.63, 4 Pt 2.63
Pt  0.2500  0.2500  0.2500  4 Os 2.63, 4 Cu 2.63

Results
Energy above the lowest structure with this stoichiometry, meV per atom: 0
Symmetry: No. 216


| no. | energy (eV/atom) |
| --- | --- |
| 1 | -7.384 |
| 2 | -7.570 |
| 3 | -3.637 |
| 4 | -6.497 |